# Mg2Zn5PdRu2 | Alexandria via LeMat-Bulk | GGA-PBE | relaxed
data_Mg2Zn5PdRu2
_symmetry_space_group_name_H-M 'P 4/m b m'
_symmetry_Int_Tables_number 127
_symmetry_space_group_name_Hall '-P 4 2ab'
_cell_length_a 9.127
_cell_length_b 9.127
_cell_length_c 3.862
_cell_angle_alpha 90.00
_cell_angle_beta 90.00
_cell_angle_gamma 90.00
loop_
_atom_site_label
_atom_site_type_symbol
_atom_site_fract_x
_atom_site_fract_y
_atom_site_fract_z
_atom_site_occupancy
Mg1 Mg 0.170 0.330 0.000 1
Zn1 Zn 0.000 0.500 0.500 1
Zn2 Zn 0.073 0.804 0.500 1
Pd1 Pd 0.000 0.000 0.000 1
Ru1 Ru 0.126 0.626 0.000 1
# Crystal system: tetragonal



# YZr3Al | Alexandria via LeMat-Bulk | GGA-PBE | relaxed
data_YZr3Al
_symmetry_space_group_name_H-M 'P m -3 m'
_symmetry_Int_Tables_number 221
_symmetry_space_group_name_Hall '-P 4 2 3'
_cell_length_a 5.164
_cell_length_b 5.164
_cell_length_c 5.164
_cell_angle_alpha 90.00
_cell_angle_beta 90.00
_cell_angle_gamma 90.00
loop_
_atom_site_label
_atom_site_type_symbol
_atom_site_fract_x
_atom_site_fract_y
_atom_site_fract_z
_atom_site_occupancy
Y1 Y 0.000 0.000 0.000 1
Zr1 Zr 0.000 0.000 0.500 1
Al1 Al 0.500 0.500 0.500 1
# Energy above the most stable polymorph in this dataset: 921 meV per atom
# Crystal system: cubic



# Er3Th2Co2 | Alexandria via LeMat-Bulk | GGA-PBE | relaxed
data_Er3Th2Co2
_symmetry_space_group_name_H-M 'C 1 2/m 1'
_symmetry_Int_Tables_number 12
_symmetry_space_group_name_Hall '-C 2y'
_cell_length_a 11.822
_cell_length_b 3.616
_cell_length_c 8.904
_cell_angle_alpha 90.00
_cell_angle_beta 113.19
_cell_angle_gamma 90.00
loop_
_atom_site_label
_atom_site_type_symbol
_atom_site_fract_x
_atom_site_fract_y
_atom_site_fract_z
_atom_site_occupancy
Er1 Er 0.000 0.000 0.000 1
Er2 Er 0.117 0.000 0.423 1
Th1 Th 0.176 0.500 0.813 1
Co1 Co 0.182 0.500 0.237 1
# Crystal system: monoclinic



no.,ΔE_f (eV/atom)
1,-0.1539
2,1.4018
3,-0.2120